La3Y6Ho2Mg | PBE-GGA | optimized geometry

**Total magnetization**: 0.00 Bohr magnetons per cell
**Theoretical density**: 5.542 g/cm3
**Final energy**: -5.3248 eV per atom
**Symmetry**: C2/m, No. 12

POSCAR file:
```
La3Y6Ho2Mg
1.0
6.228 -0.003 0.012
-3.115 5.393 0.012
-1.066 -1.845 11.630
Y La Mg Ho
6 3 1 2
Cartesian
2.056 -0.016 2.827 Y
2.072 3.588 2.840 Y
-1.041 1.773 2.827 Y
3.088 1.772 8.828 Y
-0.009 3.561 8.828 Y
-0.025 -0.043 8.815 Y
4.148 -0.032 5.827 La
1.024 1.772 5.827 La
-2.101 3.577 5.827 La
0.000 0.000 0.000 Mg
3.111 1.797 0.012 Ho
0.002 3.593 0.012 Ho
```

=====

La2Y2HoMg5 | PBE-GGA | optimized geometry

**Total magnetization**: 0.00 Bohr magnetons per cell
**Theoretical density**: 4.232 g/cm3
**Final energy**: -3.5227 eV per atom
**Symmetry**: P4/mbm, No. 127

POSCAR file:
```
La2Y2HoMg5
1.0
5.101 0.000 0.000
0.000 10.685 0.000
0.000 0.000 10.685
Mg Y La Ho
10 4 4 2
Cartesian
2.550 0.000 5.342 Mg
2.550 4.588 3.238 Mg
2.550 9.930 2.104 Mg
2.550 8.581 9.930 Mg
2.550 2.104 0.755 Mg
2.550 6.097 7.447 Mg
2.550 5.342 0.000 Mg
2.550 7.447 4.588 Mg
2.550 3.238 6.097 Mg
2.550 0.755 8.581 Mg
0.000 1.300 6.643 Y
0.000 4.042 1.300 Y
0.000 6.643 9.385 Y
0.000 9.385 4.042 Y
0.000 3.468 8.810 La
0.000 1.875 3.468 La
0.000 7.217 1.875 La
0.000 8.810 7.217 La
0.000 5.342 5.342 Ho
0.000 0.000 0.000 Ho
```

=====

La2Y6Ho3Mg | PBE-GGA | optimized geometry

**Total magnetization**: 0.00 Bohr magnetons per cell
**Theoretical density**: 5.747 g/cm3
**Final energy**: -5.3090 eV per atom
**Symmetry**: C2/m, No. 12

POSCAR file:
```
La2Y6Ho3Mg
1.0
-0.147 6.169 -0.201
-1.238 -2.951 5.280
11.754 -0.719 1.144
Y La Mg Ho
6 2 1 3
Cartesian
1.940 2.243 4.117 Y
8.429 0.257 2.105 Y
7.918 3.385 3.764 Y
2.811 2.124 0.649 Y
2.451 -0.886 2.458 Y
7.558 0.376 5.573 Y
-0.875 0.087 3.454 La
-0.511 3.131 1.625 La
0.000 0.000 0.000 Mg
4.819 -1.801 4.945 Ho
5.184 1.250 3.111 Ho
5.549 4.300 1.278 Ho
```

=====

LaHoMgZn | PBE-GGA | optimized geometry

**Total magnetization**: 0.00 Bohr magnetons per cell
**Theoretical density**: 6.123 g/cm3
**Energy relative to the lowest polymorph listed for this composition**: 0 meV per atom
**Final energy**: -3.3001 eV per atom
**Symmetry**: P4mm, No. 99

POSCAR file:
```
LaHoMgZn
1.0
-0.191 -3.349 -1.482
1.489 -1.427 3.033
-7.240 -0.959 3.102
Mg Zn La Ho
1 1 1 1
Cartesian
-3.598 -2.950 2.596 Mg
-0.315 -2.516 1.189 Zn
-6.366 -0.843 2.728 La
-2.380 -0.315 1.020 Ho
```